VASP calculation (PBE) on LiB after structural relaxation.

## Properties
For the formation energy, the calculation gives 0.075 eV per atom. As for the offset from the most stable computed form: 235 meV per atom.

Structure (CIF):
```
data_LiB
_chemical_formula_sum 'Li2 B2'
_space_group_name_H-M_alt 'P 1 21/m 1'
_space_group_IT_number 11
_space_group_name_Hall '-P 2yb'
_cell_length_a 2.724
_cell_length_b 3.084
_cell_length_c 5.297
_cell_angle_alpha 90.00
_cell_angle_beta 104.53
_cell_angle_gamma 90.00
loop_
_atom_site_label
_atom_site_fract_x
_atom_site_fract_y
_atom_site_fract_z
Li1 0.147 0.250 0.298
B1 0.475 0.250 0.949
```

=====

VASP calculation (PBE) on LiB7 after structural relaxation.

## Properties
For the formation energy, the calculation gives 0.316 eV per atom.

Structure (CIF):
```
data_LiB7
_chemical_formula_sum 'Li2 B14'
_space_group_name_H-M_alt 'C 1 2/m 1'
_space_group_IT_number 12
_space_group_name_Hall '-C 2y'
_cell_length_a 5.886
_cell_length_b 4.761
_cell_length_c 4.224
_cell_angle_alpha 90.00
_cell_angle_beta 92.63
_cell_angle_gamma 90.00
loop_
_atom_site_label
_atom_site_fract_x
_atom_site_fract_y
_atom_site_fract_z
Li1 0.000 0.000 0.000
B1 0.000 0.500 0.000
B2 0.115 0.311 0.358
B3 0.213 0.500 0.687
```

=====

VASP calculation (PBE) on LiB after structural relaxation.

## Properties
For the formation energy, the calculation gives 0.714 eV per atom. As for the offset from the most stable computed form: 874 meV per atom.

Structure (CIF):
```
data_LiB
_chemical_formula_sum 'Li8 B8'
_space_group_name_H-M_alt 'I -4 3 m'
_space_group_IT_number 217
_space_group_name_Hall 'I -4 2 3'
_cell_length_a 6.655
_cell_length_b 6.655
_cell_length_c 6.655
_cell_angle_alpha 90.00
_cell_angle_beta 90.00
_cell_angle_gamma 90.00
loop_
_atom_site_label
_atom_site_fract_x
_atom_site_fract_y
_atom_site_fract_z
Li1 0.212 0.212 0.212
B1 0.091 0.091 0.909
```

=====

VASP calculation (PBE) on LiB6 after structural relaxation.

## Properties
For the formation energy, the calculation gives 0.018 eV per atom. As for the offset from the most stable computed form: 0 meV per atom.

Structure (CIF):
```
data_LiB6
_chemical_formula_sum 'Li1 B6'
_space_group_name_H-M_alt 'P m -3 m'
_space_group_IT_number 221
_space_group_name_Hall '-P 4 2 3'
_cell_length_a 4.139
_cell_length_b 4.139
_cell_length_c 4.139
_cell_angle_alpha 90.00
_cell_angle_beta 90.00
_cell_angle_gamma 90.00
loop_
_atom_site_label
_atom_site_fract_x
_atom_site_fract_y
_atom_site_fract_z
Li1 0.000 0.000 0.000
B1 0.197 0.500 0.500
```

=====

VASP calculation (PBE) on LiB after structural relaxation.

## Properties
For the formation energy, the calculation gives 1.925 eV per atom. As for the offset from the most stable computed form: 2085 meV per atom.

Structure (CIF):
```
data_LiB
_chemical_formula_sum 'Li6 B6'
_space_group_name_H-M_alt 'P m -3 n'
_space_group_IT_number 223
_space_group_name_Hall '-P 4n 2 3'
_cell_length_a 6.137
_cell_length_b 6.137
_cell_length_c 6.137
_cell_angle_alpha 90.00
_cell_angle_beta 90.00
_cell_angle_gamma 90.00
loop_
_atom_site_label
_atom_site_fract_x
_atom_site_fract_y
_atom_site_fract_z
Li1 0.000 0.250 0.500
B1 0.000 0.500 0.250
```

=====

VASP calculation (PBE) on LiB after structural relaxation.

## Properties
For the formation energy, the calculation gives -0.125 eV per atom. As for the offset from the most stable computed form: 35 meV per atom.

Structure (CIF):
```
data_LiB
_chemical_formula_sum 'Li4 B4'
_space_group_name_H-M_alt 'I m m a'
_space_group_IT_number 74
_space_group_name_Hall '-I 2b 2'
_cell_length_a 3.078
_cell_length_b 4.058
_cell_length_c 6.740
_cell_angle_alpha 90.00
_cell_angle_beta 90.00
_cell_angle_gamma 90.00
loop_
_atom_site_label
_atom_site_fract_x
_atom_site_fract_y
_atom_site_fract_z
Li1 0.000 0.250 0.091
B1 0.000 0.250 0.730
```

=====

VASP calculation (PBE) on LiLuB4 after structural relaxation.

## Properties
For the formation energy, the calculation gives 0.397 eV per atom.

Structure (CIF):
```
data_LiLuB4
_chemical_formula_sum 'Li4 Lu4 B16'
_space_group_name_H-M_alt 'F -4 3 m'
_space_group_IT_number 216
_space_group_name_Hall 'F -4 2 3'
_cell_length_a 6.266
_cell_length_b 6.266
_cell_length_c 6.266
_cell_angle_alpha 90.00
_cell_angle_beta 90.00
_cell_angle_gamma 90.00
loop_
_atom_site_label
_atom_site_fract_x
_atom_site_fract_y
_atom_site_fract_z
Li1 0.000 0.000 0.000
Lu1 0.250 0.250 0.750
B1 0.099 0.099 0.401
```

=====

VASP calculation (PBE) on LiMg9B20 after structural relaxation.

## Properties
For the formation energy, the calculation gives -0.121 eV per atom.

Structure (CIF):
```
data_LiMg9B20
_chemical_formula_sum 'Li1 Mg9 B20'
_space_group_name_H-M_alt 'P -1'
_space_group_IT_number 2
_space_group_name_Hall '-P 1'
_cell_length_a 6.141
_cell_length_b 7.058
_cell_length_c 7.689
_cell_angle_alpha 96.52
_cell_angle_beta 101.36
_cell_angle_gamma 115.72
loop_
_atom_site_label
_atom_site_fract_x
_atom_site_fract_y
_atom_site_fract_z
Li1 0.000 0.000 0.000
Mg1 0.001 0.200 0.601
Mg2 0.001 0.604 0.802
Mg3 0.495 0.396 0.198
Mg4 0.500 0.000 0.000
Mg5 0.500 0.201 0.600
B1 0.165 0.163 0.332
B2 0.165 0.365 0.931
B3 0.165 0.565 0.533
B4 0.165 0.765 0.134
B5 0.165 0.966 0.732
B6 0.333 0.034 0.268
B7 0.334 0.235 0.867
B8 0.335 0.434 0.468
B9 0.335 0.635 0.068
B10 0.335 0.836 0.668
```